RbAgTeI5 | PBE | optimized geometry

```
RbAgTeI5
1.0
5.2280 -6.4053 0.0000
5.2280 6.4053 0.0000
-4.8634 0.0000 11.4435
Rb Ag Te I
2 2 2 10
Direct
0.0781 0.9219 0.7500
0.9219 0.0781 0.2500
0.4613 0.5387 0.7500
0.5387 0.4613 0.2500
0.0000 0.5000 0.0000
0.5000 0.0000 0.5000
0.2065 0.2728 0.0883
0.2086 0.7914 0.2500
0.2728 0.2065 0.5883
0.2894 0.6589 0.9210
0.3411 0.7106 0.5790
0.6589 0.2894 0.4210
0.7106 0.3411 0.0790
0.7272 0.7935 0.4117
0.7914 0.2086 0.7500
0.7935 0.7272 0.9117
```

## Properties
total energy = -2.3039 eV per atom
volume = 766 Å³/cell
energy relative to the elements, uncorrected = -3.72 eV per formula unit
ρ = 4.1 g/cm3


PmSm5Tl6 | PBE | optimized geometry

```
PmSm5Tl6
1.0
5.4863 0.0000 0.0000
0.0000 7.6733 0.0000
-2.6964 0.0000 8.2372
Pm Sm Tl
1 5 6
Direct
0.0000 0.0000 0.0000
0.0000 0.5000 0.0000
0.3333 0.0000 0.6664
0.3338 0.5000 0.6676
0.6662 0.5000 0.3324
0.6667 0.0000 0.3336
0.1670 0.2507 0.3342
0.1670 0.7493 0.3342
0.5000 0.2504 0.0000
0.5000 0.7496 0.0000
0.8330 0.2507 0.6658
0.8330 0.7493 0.6658
```

## Properties
total energy = -3.9263 eV per atom
ΔE_f = -8.79 kcal/mol of atoms
volume = 347 Å³/cell
ρ = 10.2 g/cm3


Q: Among the records above, which one has the lowest ρ?
A: RbAgTeI5


Q: Look up the total energy of the second one.
A: -3.9263 eV per atom